{
  "formula": "La2Ho2ErTm2",
  "functional": "PBE",
  "state": "relaxed",
  "lattice_angstrom": [[8.8696, -1.7307, 0.0000], [8.8696, 1.7307, 0.0000], [-3.8652, 0.0000, 7.5784]],
  "species": ["La", "La", "Ho", "Ho", "Er", "Tm", "Tm"],
  "frac_coords": [[0.1470, 0.1470, 0.3759], [0.8530, 0.8530, 0.6241], [0.2897, 0.2897, 0.1993], [0.7103, 0.7103, 0.8007], [0.5000, 0.5000, 0.5000], [0.0695, 0.0695, 0.9009], [0.9305, 0.9305, 0.0991]],
  "formation_enthalpy_0k_ev_per_atom": 0.155,
  "volume_a3_per_atom": 33.24,
  "sg": "C2/m",
  "e_tot_ev_per_fu": -31.43
}


{
  "formula": "LaHo2Er5Tm",
  "functional": "PBE",
  "state": "relaxed",
  "lattice_angstrom": [[-4.4925, 4.4925, 7.2158], [4.4925, -4.4925, 7.2158], [4.4925, 4.4925, -7.2158]],
  "species": ["La", "La", "Ho", "Ho", "Ho", "Ho", "Er", "Er", "Er", "Er", "Er", "Er", "Er", "Er", "Er", "Er", "Tm", "Tm"],
  "frac_coords": [[0.2500, 0.2500, 0.0000], [0.7500, 0.7500, 0.0000], [0.1115, 0.6115, 0.7229], [0.3885, 0.1115, 0.5000], [0.6115, 0.8885, 0.5000], [0.8885, 0.3885, 0.2771], [0.0000, 0.0000, 0.0000], [0.0746, 0.1667, 0.5000], [0.1667, 0.6667, 0.0921], [0.3333, 0.4254, 0.5000], [0.4254, 0.9254, 0.0921], [0.5000, 0.5000, 0.0000], [0.5746, 0.0746, 0.9079], [0.6667, 0.5746, 0.5000], [0.8333, 0.3333, 0.9079], [0.9254, 0.8333, 0.5000], [0.2500, 0.7500, 0.5000], [0.7500, 0.2500, 0.5000]],
  "formation_enthalpy_0k_ev_per_atom": 0.293,
  "volume_a3_per_atom": 32.36,
  "sg": "I4/mcm",
  "e_tot_ev_per_fu": -38.73
}


{
  "formula": "LaHo6Er3Tm2",
  "functional": "PBE",
  "state": "relaxed",
  "lattice_angstrom": [[3.0593, -5.2949, 0.0000], [3.0593, 5.2949, 0.0000], [-2.0319, 0.0000, 11.5449]],
  "species": ["La", "Ho", "Ho", "Ho", "Ho", "Ho", "Ho", "Er", "Er", "Er", "Tm", "Tm"],
  "frac_coords": [[0.0000, 0.0000, 0.0000], [0.0847, 0.4195, 0.2527], [0.2504, 0.2504, 0.7473], [0.4195, 0.0847, 0.2527], [0.5805, 0.9153, 0.7473], [0.7496, 0.7496, 0.2527], [0.9153, 0.5805, 0.7473], [0.1672, 0.8328, 0.5000], [0.5000, 0.5000, 0.5000], [0.8328, 0.1672, 0.5000], [0.3333, 0.6667, 0.0000], [0.6667, 0.3333, 0.0000]],
  "formation_enthalpy_0k_ev_per_atom": 0.025,
  "volume_a3_per_atom": 31.17,
  "sg": "C2/m",
  "e_tot_ev_per_fu": -54.73
}


Question: Number 2 is which compound?
Answer: LaHo2Er5Tm


What did the first record say?
{
  "formula": "La2Ho2ErTm2",
  "functional": "PBE",
  "state": "relaxed",
  "lattice_angstrom": [[8.8696, -1.7307, 0.0000], [8.8696, 1.7307, 0.0000], [-3.8652, 0.0000, 7.5784]],
  "species": ["La", "La", "Ho", "Ho", "Er", "Tm", "Tm"],
  "frac_coords": [[0.1470, 0.1470, 0.3759], [0.8530, 0.8530, 0.6241], [0.2897, 0.2897, 0.1993], [0.7103, 0.7103, 0.8007], [0.5000, 0.5000, 0.5000], [0.0695, 0.0695, 0.9009], [0.9305, 0.9305, 0.0991]],
  "formation_enthalpy_0k_ev_per_atom": 0.155,
  "volume_a3_per_atom": 33.24,
  "sg": "C2/m",
  "e_tot_ev_per_fu": -31.43
}